Record 1
First-principles (PBE-GGA) data for a relaxed structure of Li2InHPt, as listed in Alexandria.

Properties
The density of states at the Fermi level comes out at 1.50 states/eV/cell. As for the energy relative to the lowest polymorph listed for this composition: 0.094 eV per atom. As for the symmetry: P4/mmm (123).

Unit cell a=3.889 b=3.889 c=4.517 alpha=90.00 beta=90.00 gamma=90.00
Sites, in units of the cell vectors:
Pt: 0.500 0.500 0.500
In: 0.000 0.000 0.500
Li: 0.000 0.500 0.000
Li: 0.500 0.000 0.000
H: 0.000 0.000 0.000

Record 2
First-principles (PBE-GGA) data for a relaxed structure of Ac3SnPt, as listed in Alexandria.

Properties
The density of states at the Fermi level comes out at 18.34 states/eV/cell. As for the energy relative to the lowest polymorph listed for this composition: 0.000 eV per atom. As for the symmetry: Pnma (62). The calculation puts the formation energy at -790 meV/atom.

Unit cell a=4.933 b=8.965 c=16.013 alpha=90.00 beta=90.00 gamma=90.00
Sites, in units of the cell vectors:
Ac: 0.250 0.350 0.512
Sn: 0.750 0.908 0.824
Ac: 0.250 0.475 0.108
Pt: 0.250 0.829 0.558
Pt: 0.750 0.171 0.442
Ac: 0.750 0.650 0.488
Ac: 0.250 0.682 0.717
Sn: 0.250 0.092 0.176
Ac: 0.750 0.025 0.608
Pt: 0.750 0.671 0.058
Sn: 0.250 0.592 0.324
Ac: 0.750 0.525 0.892
Ac: 0.750 0.818 0.217
Ac: 0.250 0.975 0.392
Sn: 0.750 0.408 0.676
Ac: 0.750 0.150 0.012
Ac: 0.250 0.182 0.783
Ac: 0.750 0.318 0.283
Pt: 0.250 0.329 0.942
Ac: 0.250 0.850 0.988

Record 3
First-principles (PBE-GGA) data for a relaxed structure of Ac8OsRh3Br4, as listed in Alexandria.

Properties
The calculation puts the uncorrected formation energy at -1065 meV/atom. The density of states at the Fermi level comes out at 5.75 states/eV/cell. As for the symmetry: R-3m (166).

Unit cell a=8.657 b=9.697 c=8.657 alpha=116.55 beta=120.00 gamma=90.00
Sites, in units of the cell vectors:
Br: 0.500 0.000 0.000
Ac: 0.731 0.693 0.462
Br: 0.000 0.000 0.000
Ac: 0.736 0.695 0.966
Br: 0.000 0.000 0.500
Rh: 0.500 0.500 0.000
Rh: 0.000 0.500 0.500
Ac: 0.230 0.695 0.459
Ac: 0.264 0.305 0.034
Ac: 0.269 0.307 0.538
Ac: 0.770 0.305 0.034
Ac: 0.770 0.305 0.541
Ac: 0.230 0.695 0.966
Br: 0.500 0.000 0.500
Rh: 0.500 0.500 0.500
Os: 0.000 0.500 0.000